Material: H5Pd5Au
Method: DFT, PBE-GGA
State: optimized geometry

- total magnetic moment (μB/cell) = 0.0
- volume (Å³/f.u.) = 109
- E (hartree per atom) = -0.15534

Cell: 5.8587 5.1708 5.1358 Å, 80.79 108.67 55.43°
Sites, in units of the cell vectors:
Pd: 0.5362 0.9717 0.9996
Pd: 0.8710 0.6385 0.6654
Pd: 0.7137 0.2941 0.3342
Pd: 0.2002 0.3029 0.3262
Pd: 0.3850 0.6226 0.6726
H: 0.7292 0.5416 0.0095
H: 0.8772 0.8623 0.3617
H: 0.5392 0.2588 0.5616
H: 0.1395 0.2277 0.6488
H: 0.4571 0.8316 0.4201
Au: 0.0518 0.9482 0.0003



Material: H3Pd3Au2
Method: DFT, PBE-GGA
State: optimized geometry

- total magnetic moment (μB/cell) = 0.0
- volume (Å³/f.u.) = 93
- E (hartree per atom) = -0.14998

Cell: 3.0451 4.1337 8.9463 Å, 103.26 120.82 89.76°
Sites, in units of the cell vectors:
H: 0.9985 0.6650 0.0001
H: 0.2188 0.0392 0.8137
H: 0.7820 0.2299 0.1887
Pd: 0.4991 0.4121 0.9995
Pd: 0.3128 0.0081 0.2084
Pd: 0.6855 0.7981 0.7902
Au: 0.8939 0.2209 0.5948
Au: 0.1094 0.6267 0.4046



Material: HPd3Au
Method: DFT, PBE-GGA
State: optimized geometry

- total magnetic moment (μB/cell) = 0.0
- volume (Å³/f.u.) = 67
- E above lowest polymorph (eV per atom) = 0.0212

Cell: 4.0859 5.7437 5.7246 Å, 90.00 90.37 90.00°
Sites, in units of the cell vectors:
Au: 0.9778 0.1103 0.8519
Au: 0.9878 0.6103 0.3573
Pd: 0.4942 0.3677 0.1074
Pd: 0.9726 0.1103 0.3667
Pd: 0.4827 0.8610 0.6054
Pd: 0.4942 0.8530 0.1074
Pd: 0.9865 0.6103 0.8546
Pd: 0.4827 0.3596 0.6054
H: 0.2672 0.1103 0.1470
H: 0.4866 0.6103 0.8261



Material: H2PdAu2
Method: DFT, PBE-GGA
State: optimized geometry

- total magnetic moment (μB/cell) = 0.0
- volume (Å³/f.u.) = 59
- E above lowest polymorph (eV per atom) = 0.2505

Cell: 3.3966 3.3966 5.6602 Å, 72.54 72.54 90.00°
Sites, in units of the cell vectors:
H: 0.2500 0.7500 0.5000
H: 0.7500 0.2500 0.5000
Pd: 0.0000 0.0000 0.0000
Au: 0.3521 0.3521 0.2958
Au: 0.6479 0.6479 0.7042



Material: H5Pd7Au
Method: DFT, PBE-GGA
State: optimized geometry

- total magnetic moment (μB/cell) = 0.0
- volume (Å³/f.u.) = 148
- E (hartree per atom) = -0.16091

Cell: 3.9057 5.0134 16.5031 Å, 84.88 89.64 112.86°
Sites, in units of the cell vectors:
Pd: 0.3358 0.6955 0.9657
Pd: 0.6345 0.3002 0.0364
Pd: 0.1877 0.4249 0.1682
Pd: 0.9504 0.9306 0.4054
Pd: 0.5510 0.1723 0.2839
Pd: 0.7190 0.4533 0.6534
Pd: 0.9113 0.8711 0.0825
Pd: 0.7780 0.5743 0.8320
Pd: 0.2473 0.5484 0.3468
Pd: 0.0380 0.1314 0.9156
Pd: 0.0053 0.0704 0.5924
Pd: 0.3298 0.6936 0.5310
Pd: 0.6425 0.3111 0.4706
Pd: 0.4146 0.8288 0.7163
H: 0.2566 0.0049 0.9971
H: 0.0661 0.5687 0.0747
H: 0.8959 0.4330 0.9275
H: 0.3029 0.1653 0.1229
H: 0.4456 0.3789 0.5667
H: 0.8143 0.2349 0.3724
H: 0.1948 0.9994 0.4978
H: 0.6555 0.8301 0.8778
H: 0.1472 0.7710 0.6289
H: 0.5180 0.6230 0.4352
Au: 0.8614 0.7848 0.2422
Au: 0.1038 0.2152 0.7566



Material: H5Pd4Au
Method: DFT, PBE-GGA
State: optimized geometry

- total magnetic moment (μB/cell) = 0.0
- volume (Å³/f.u.) = 104
- E (hartree per atom) = -0.14746

Cell: 4.7787 5.4018 8.0717 Å, 90.00 90.00 90.00°
Sites, in units of the cell vectors:
H: 0.6403 0.5000 0.0000
H: 0.7913 0.7639 0.6926
H: 0.2087 0.2639 0.8074
H: 0.3597 0.0000 0.5000
H: 0.2087 0.7361 0.1926
H: 0.7913 0.7639 0.3074
H: 0.2087 0.2639 0.1926
H: 0.7913 0.2361 0.3074
H: 0.7913 0.2361 0.6926
H: 0.2087 0.7361 0.8074
Pd: 0.1071 0.0000 0.3179
Pd: 0.8929 0.5000 0.8179
Pd: 0.3815 0.7489 0.0000
Pd: 0.8929 0.5000 0.1821
Pd: 0.1071 0.0000 0.6821
Pd: 0.6185 0.7511 0.5000
Pd: 0.3815 0.2511 0.0000
Pd: 0.6185 0.2489 0.5000
Au: 0.1241 0.5000 0.5000
Au: 0.8759 0.0000 0.0000



Material: H4Pd6Au
Method: DFT, PBE-GGA
State: optimized geometry

- total magnetic moment (μB/cell) = 0.0
- volume (Å³/f.u.) = 129
- E above lowest polymorph (eV per atom) = 0.0414

Cell: 5.7374 5.7374 5.7374 Å, 86.63 121.96 121.96°
Sites, in units of the cell vectors:
Pd: 0.5005 0.5019 0.5019
Pd: 0.4995 0.0014 0.0014
Pd: 0.0000 0.9986 0.4981
Pd: 0.5000 0.0000 0.5000
Pd: 0.0000 0.4981 0.9986
Pd: 0.5000 0.5000 0.0000
H: 0.5793 0.3420 0.3420
H: 0.4207 0.7626 0.7626
H: 0.0000 0.2374 0.6580
H: 0.0000 0.6580 0.2374
Au: 0.0000 0.0000 0.0000



Material: HPdAu3
Method: DFT, PBE-GGA
State: optimized geometry

- total magnetic moment (μB/cell) = 0.0
- volume (Å³/f.u.) = 73
- E above lowest polymorph (eV per atom) = 0.0000

Cell: 4.1757 4.1757 4.1757 Å, 90.00 90.00 90.00°
Sites, in units of the cell vectors:
Au: 0.0000 0.5000 0.0000
Au: 0.5000 0.0000 0.0000
Au: 0.0000 0.0000 0.5000
Pd: 0.5000 0.5000 0.5000
H: 0.0000 0.0000 0.0000



Material: H4Pd3Au
Method: DFT, PBE-GGA
State: optimized geometry

- total magnetic moment (μB/cell) = 0.0
- volume (Å³/f.u.) = 78
- E (hartree per atom) = -0.15012

Cell: 3.1620 3.1620 7.7544 Å, 90.00 90.00 90.00°
Sites, in units of the cell vectors:
Pd: 0.0000 0.0000 0.0000
Pd: 0.5000 0.5000 0.7302
Pd: 0.5000 0.5000 0.2698
H: 0.0000 0.5000 0.8504
H: 0.5000 0.0000 0.8504
H: 0.0000 0.5000 0.1496
H: 0.5000 0.0000 0.1496
Au: 0.0000 0.0000 0.5000



Material: HPd3Au
Method: DFT, PBE-GGA
State: optimized geometry

- total magnetic moment (μB/cell) = 0.0
- volume (Å³/f.u.) = 74
- E above lowest polymorph (eV per atom) = 0.1647

Cell: 17.3773 7.0339 7.0339 Å, 157.04 151.65 28.35°
Sites, in units of the cell vectors:
Pd: 0.0168 0.3263 0.6737
Pd: 0.1736 0.8095 0.1905
Pd: 0.3215 0.8159 0.1841
Pd: 0.6785 0.1841 0.8159
Pd: 0.9832 0.6737 0.3263
Pd: 0.8264 0.1905 0.8095
Au: 0.6142 0.0543 0.9457
Au: 0.3858 0.9457 0.0543
H: 0.1042 0.1009 0.8991
H: 0.8958 0.8991 0.1009



Material: H3Pd4Au2
Method: DFT, PBE-GGA
State: optimized geometry

- total magnetic moment (μB/cell) = 0.0
- volume (Å³/f.u.) = 111
- E above lowest polymorph (eV per atom) = 0.0219

Cell: 2.7756 5.4443 7.9606 Å, 110.00 100.04 90.00°
Sites, in units of the cell vectors:
H: 0.5000 0.5000 0.0000
H: 0.9168 0.9168 0.8335
H: 0.0832 0.0832 0.1665
Pd: 0.5926 0.3410 0.1852
Pd: 0.4074 0.1558 0.8148
Pd: 0.4074 0.6590 0.8148
Pd: 0.5926 0.8442 0.1852
Au: 0.7632 0.2632 0.5264
Au: 0.2368 0.7368 0.4736



Material: HPd3Au
Method: DFT, PBE-GGA
State: optimized geometry

- total magnetic moment (μB/cell) = 0.0
- volume (Å³/f.u.) = 66
- E above lowest polymorph (eV per atom) = 0.0003

Cell: 4.0488 4.0488 4.0488 Å, 90.00 90.00 90.00°
Sites, in units of the cell vectors:
Au: 0.5000 0.5000 0.5000
Pd: 0.5000 0.0000 0.0000
Pd: 0.0000 0.0000 0.5000
Pd: 0.0000 0.5000 0.0000
H: 0.0000 0.0000 0.0000



Material: HPd3Au
Method: DFT, PBE-GGA
State: optimized geometry

- total magnetic moment (μB/cell) = 0.0
- volume (Å³/f.u.) = 68
- E above lowest polymorph (eV per atom) = 0.0014

Cell: 5.8181 4.9640 4.9665 Å, 79.62 89.90 106.16°
Sites, in units of the cell vectors:
Pd: 0.0719 0.0920 0.8430
Pd: 0.9465 0.5813 0.5864
Pd: 0.3254 0.0851 0.3604
Pd: 0.5840 0.0876 0.8433
Pd: 0.1999 0.5744 0.1038
Pd: 0.6879 0.5789 0.1035
H: 0.9679 0.6985 0.9087
H: 0.3040 0.9679 0.0382
Au: 0.8246 0.0841 0.3446
Au: 0.4472 0.5823 0.6022



Material: H3PdAu
Method: DFT, PBE-GGA
State: optimized geometry

- total magnetic moment (μB/cell) = 0.0
- volume (Å³/f.u.) = 45
- E above lowest polymorph (eV per atom) = 0.0000

Cell: 3.5634 3.5634 3.5634 Å, 90.00 90.00 90.00°
Sites, in units of the cell vectors:
Au: 0.5000 0.5000 0.5000
H: 0.5000 0.0000 0.0000
H: 0.0000 0.5000 0.0000
H: 0.0000 0.0000 0.5000
Pd: 0.0000 0.0000 0.0000



Material: HPd3Au
Method: DFT, PBE-GGA
State: optimized geometry

- total magnetic moment (μB/cell) = 0.0
- volume (Å³/f.u.) = 68
- E above lowest polymorph (eV per atom) = 0.0000

Cell: 4.9511 5.8428 9.5271 Å, 90.00 101.22 90.00°
Sites, in units of the cell vectors:
Au: 0.3718 0.3704 0.3744
Au: 0.3718 0.1296 0.8744
Au: 0.6282 0.8704 0.1256
Au: 0.6282 0.6296 0.6256
Pd: 0.3874 0.6290 0.8741
Pd: 0.8697 0.8875 0.8730
Pd: 0.3874 0.8710 0.3741
Pd: 0.1303 0.1125 0.1270
Pd: 0.8715 0.3733 0.8706
Pd: 0.8697 0.6125 0.3730
Pd: 0.1303 0.3875 0.6270
Pd: 0.1285 0.8733 0.6294
Pd: 0.6126 0.1290 0.6259
Pd: 0.6126 0.3710 0.1259
Pd: 0.1285 0.6267 0.1294
Pd: 0.8715 0.1267 0.3706
H: 0.9367 0.1355 0.5681
H: 0.9367 0.3645 0.0681
H: 0.0633 0.6355 0.9319
H: 0.0633 0.8645 0.4319



Material: H3PdAu
Method: DFT, PBE-GGA
State: optimized geometry

- total magnetic moment (μB/cell) = 0.0
- volume (Å³/f.u.) = 47
- E above lowest polymorph (eV per atom) = 0.0969

Cell: 3.6173 3.6173 3.6173 Å, 90.00 90.00 90.00°
Sites, in units of the cell vectors:
Au: 0.0000 0.0000 0.0000
H: 0.5000 0.0000 0.0000
H: 0.0000 0.0000 0.5000
H: 0.0000 0.5000 0.0000
Pd: 0.5000 0.5000 0.5000



Material: H2PdAu2
Method: DFT, PBE-GGA
State: optimized geometry

- total magnetic moment (μB/cell) = 0.0
- volume (Å³/f.u.) = 64
- E above lowest polymorph (eV per atom) = 0.0000

Cell: 3.9335 4.0423 4.0423 Å, 90.00 90.00 90.00°
Sites, in units of the cell vectors:
H: 0.0000 0.5000 0.0000
H: 0.0000 0.0000 0.5000
Pd: 0.0000 0.0000 0.0000
Au: 0.5000 0.5000 0.0000
Au: 0.5000 0.0000 0.5000



Material: HPd3Au
Method: DFT, PBE-GGA
State: optimized geometry

- total magnetic moment (μB/cell) = 0.0
- volume (Å³/f.u.) = 67
- E above lowest polymorph (eV per atom) = 0.0221

Cell: 22.0071 4.9621 7.3707 Å, 90.00 160.65 90.00°
Sites, in units of the cell vectors:
Pd: 0.3130 0.9176 0.0007
Pd: 0.4366 0.0842 0.9968
Pd: 0.9366 0.4158 0.4968
Pd: 0.4376 0.4152 0.5003
Pd: 0.1870 0.4176 0.4993
Pd: 0.5634 0.9158 0.0032
Pd: 0.0624 0.9152 0.9997
Pd: 0.0634 0.5842 0.5032
Pd: 0.8130 0.5824 0.5007
Pd: 0.6870 0.0824 0.9993
Pd: 0.5624 0.5848 0.4997
Pd: 0.9376 0.0848 0.0003
H: 0.9618 0.2469 0.7993
H: 0.0382 0.7531 0.2007
H: 0.5382 0.7469 0.7007
H: 0.4618 0.2531 0.2993
Au: 0.3117 0.5882 0.4993
Au: 0.6883 0.4118 0.5007
Au: 0.8117 0.9118 0.9993
Au: 0.1883 0.0882 0.0007



Material: HPd3Au
Method: DFT, PBE-GGA
State: optimized geometry

- total magnetic moment (μB/cell) = 0.0
- volume (Å³/f.u.) = 70
- E above lowest polymorph (eV per atom) = 0.1331

Cell: 5.4339 5.4339 5.4919 Å, 90.00 90.00 120.26°
Sites, in units of the cell vectors:
H: 0.8657 0.1343 0.7500
H: 0.1343 0.8657 0.2500
Au: 0.5088 0.4912 0.2500
Au: 0.4912 0.5088 0.7500
Pd: 0.9930 0.5140 0.7500
Pd: 0.4860 0.0070 0.7500
Pd: 0.0000 0.0000 0.0000
Pd: 0.5140 0.9930 0.2500
Pd: 0.0070 0.4860 0.2500
Pd: 0.0000 0.0000 0.5000



Material: H2PdAu
Method: DFT, PBE-GGA
State: optimized geometry

- total magnetic moment (μB/cell) = 0.0
- volume (Å³/f.u.) = 41
- E above lowest polymorph (eV per atom) = 0.0000

Cell: 2.9961 2.9961 5.5816 Å, 74.43 74.43 60.00°
Sites, in units of the cell vectors:
H: 0.8837 0.8837 0.3489
H: 0.1163 0.1163 0.6511
Pd: 0.5000 0.5000 0.5000
Au: 0.0000 0.0000 0.0000



Material: H5Pd4Au2
Method: DFT, PBE-GGA
State: optimized geometry

- total magnetic moment (μB/cell) = 0.0
- volume (Å³/f.u.) = 136
- E (hartree per atom) = -0.14784

Cell: 2.8588 4.8862 10.2260 Å, 97.60 105.68 90.06°
Sites, in units of the cell vectors:
Au: 0.3678 0.6474 0.1367
Au: 0.5995 0.3672 0.8736
H: 0.9101 0.8065 0.6885
H: 0.1721 0.6101 0.4420
H: 0.6812 0.0246 0.9610
H: 0.0534 0.1756 0.3197
H: 0.7878 0.3778 0.5630
Pd: 0.8720 0.1439 0.1387
Pd: 0.0949 0.8580 0.8707
Pd: 0.6105 0.3987 0.3795
Pd: 0.3506 0.5903 0.6265



Material: H2PdAu
Method: DFT, PBE-GGA
State: optimized geometry

- total magnetic moment (μB/cell) = 0.0
- volume (Å³/f.u.) = 42
- E above lowest polymorph (eV per atom) = 0.0609

Cell: 4.3159 4.3159 5.4038 Å, 66.46 66.46 90.00°
Sites, in units of the cell vectors:
H: 0.3750 0.4070 0.7500
H: 0.5930 0.1250 0.2500
H: 0.8750 0.8430 0.7500
H: 0.1570 0.6250 0.2500
Pd: 0.5000 0.5000 0.0000
Pd: 0.2500 0.7500 0.5000
Au: 0.0000 0.0000 0.0000
Au: 0.7500 0.2500 0.5000